# 1
Here is an optimized crystal structure of Dy2CdGa2Pt5 from Alexandria via LeMat-Bulk. Energies are from PBE.

Output
SG: P4/mbm (127)

Cell: 9.7456 9.7456 3.8511 Å, 90.00 90.00 90.00°
Element x y z (fractional)
1 Dy 0.1762 0.3238 0.0000
2 Dy 0.3238 0.8238 0.0000
3 Dy 0.6762 0.1762 0.0000
4 Dy 0.8238 0.6762 0.0000
5 Cd 0.0000 0.0000 0.0000
6 Cd 0.5000 0.5000 0.0000
7 Ga 0.1224 0.6224 0.0000
8 Ga 0.3776 0.1224 0.0000
9 Ga 0.6224 0.8776 0.0000
10 Ga 0.8776 0.3776 0.0000
11 Pt 0.0000 0.5000 0.5000
12 Pt 0.0672 0.7897 0.5000
13 Pt 0.2103 0.0672 0.5000
14 Pt 0.2897 0.5672 0.5000
15 Pt 0.4328 0.2897 0.5000
16 Pt 0.5000 0.0000 0.5000
17 Pt 0.5672 0.7103 0.5000
18 Pt 0.7103 0.4328 0.5000
19 Pt 0.7897 0.9328 0.5000
20 Pt 0.9328 0.2103 0.5000

# 2
Here is an optimized crystal structure of DyCdGa2Pt2 from Alexandria via LeMat-Bulk. Energies are from PBE.

Output
SG: P-3m1 (164)

Cell: 4.4359 4.4359 6.6077 Å, 90.00 90.00 120.00°
Element x y z (fractional)
1 Dy 0.0000 0.0000 0.0000
2 Cd 0.0000 0.0000 0.5000
3 Ga 0.3333 0.6667 0.2764
4 Ga 0.6667 0.3333 0.7236
5 Pt 0.3333 0.6667 0.7310
6 Pt 0.6667 0.3333 0.2690

# 3
Here is an optimized crystal structure of Dy4CdGa2Ru from Alexandria via LeMat-Bulk. Energies are from PBE.

Output
SG: R-3m (166)

Cell: 8.7287 8.7287 8.7287 Å, 33.70 33.70 33.70°
Element x y z (fractional)
1 Dy 0.1164 0.1164 0.1164
2 Dy 0.3689 0.3689 0.3689
3 Dy 0.6311 0.6311 0.6311
4 Dy 0.8836 0.8836 0.8836
5 Cd 0.5000 0.5000 0.5000
6 Ga 0.2443 0.2443 0.2443
7 Ga 0.7557 0.7557 0.7557
8 Ru 0.0000 0.0000 0.0000

| no. | ΔH_f (0 K) (eV/atom) | calculated density (Mg/m³) |
| --- | --- | --- |
| 1 | -0.828 | 14.09 |
| 2 | -0.764 | 11.86 |
| 3 | -0.478 | 9.13 |